First-principles (PBE) data for a relaxed NaSmBr6 crystal, as listed in Alexandria via LeMat-Bulk.

Cell: 8.1926 8.1926 8.1926 Å, 60.00 60.00 60.00°
Fractional coordinates of all 8 atoms:
Na 0.0000 0.0000 0.0000
Sm 0.5000 0.5000 0.5000
Br 0.2547 0.2547 0.7452
Br 0.2547 0.7452 0.2547
Br 0.2547 0.7452 0.7452
Br 0.7452 0.2547 0.2547
Br 0.7452 0.2547 0.7452
Br 0.7452 0.7452 0.2547

Computed properties:
formation energy (no corrections)	-1.051	eV/atom
magnetization	2.1	μB per cell
VASP energy	-3.061	eV per atom